VCd3O6 | GGA+U | relaxed

Total energy   -5.22 eV/atom
SG   Cmc2_1 (36)
Relative energy among the computed polymorphs   0 meV/atom

a = 7.1366 Å, b = 7.1366 Å, c = 5.6818 Å
α = 90.00°, β = 90.00°, γ = 101.25°
Fractional positions:
1 V 0.1690 0.8310 0.5000
2 V 0.8310 0.1690 0.0000
3 Cd 0.0868 0.3229 0.4846
4 Cd 0.3229 0.0868 0.9846
5 Cd 0.4180 0.5820 0.9543
6 Cd 0.5820 0.4180 0.4543
7 Cd 0.6771 0.9132 0.4846
8 Cd 0.9132 0.6771 0.9846
9 O 0.0132 0.9868 0.5185
10 O 0.0612 0.6265 0.3474
11 O 0.2247 0.7753 0.7982
12 O 0.3276 0.3473 0.2125
13 O 0.3473 0.3276 0.7125
14 O 0.3735 0.9388 0.3474
15 O 0.6265 0.0612 0.8474
16 O 0.6527 0.6724 0.2125
17 O 0.6724 0.6527 0.7125
18 O 0.7753 0.2247 0.2982
19 O 0.9388 0.3735 0.8474
20 O 0.9868 0.0132 0.0185